AcAg3 | the Alexandria database | GGA-PBE | relaxed; calculated density = 8.9 g cm⁻³; calculated volume = 25.81 Å³/atom; final energy = -3.1472 eV/atom; formation energy = 0.02 eV/atom
1.0
4.691 0.000 0.000
0.000 4.691 0.000
0.000 0.000 4.691
Ac Ag
1 3
direct
0.000 0.000 0.000 Ac
0.000 0.500 0.500 Ag
0.500 0.000 0.500 Ag
0.500 0.500 0.000 Ag

---

AcAg5 | the Alexandria database | GGA-PBE | relaxed; calculated density = 9.3 g cm⁻³; calculated volume = 22.91 Å³/atom; final energy = -3.0935 eV/atom; formation energy = -0.03 eV/atom
1.0
2.723 -5.009 0.000
2.723 5.009 0.000
0.000 0.000 5.039
Ac Ag
1 5
direct
0.000 0.000 0.000 Ac
0.211 0.789 0.500 Ag
0.337 0.663 0.000 Ag
0.500 0.500 0.500 Ag
0.663 0.337 0.000 Ag
0.789 0.211 0.500 Ag

---

Ac3Ag | the Alexandria database | GGA-PBE | relaxed; ΔE to the lowest computed polymorph = 0.207 eV per atom; calculated density = 8.8 g cm⁻³; calculated volume = 37.02 Å³/atom; final energy = -3.7032 eV/atom; formation energy = 0.09 eV/atom
1.0
7.728 0.000 0.000
-3.864 6.693 0.000
0.000 0.000 5.726
Ac Ag
6 2
direct
0.176 0.352 0.250 Ac
0.176 0.824 0.250 Ac
0.352 0.176 0.750 Ac
0.648 0.824 0.250 Ac
0.824 0.176 0.750 Ac
0.824 0.648 0.750 Ac
0.333 0.667 0.750 Ag
0.667 0.333 0.250 Ag

---

AcAg3 | the Alexandria database | GGA-PBE | relaxed; calculated density = 9.0 g cm⁻³; calculated volume = 25.36 Å³/atom; final energy = -3.3536 eV/atom; formation energy = -0.19 eV/atom
1.0
6.922 0.000 0.000
-3.461 5.994 0.000
0.000 0.000 4.890
Ac Ag
2 6
direct
0.333 0.667 0.250 Ac
0.667 0.333 0.750 Ac
0.141 0.282 0.750 Ag
0.141 0.859 0.750 Ag
0.282 0.141 0.250 Ag
0.718 0.859 0.750 Ag
0.859 0.141 0.250 Ag
0.859 0.718 0.250 Ag

---

Ac3Ag | the Alexandria database | GGA-PBE | relaxed; ΔE to the lowest computed polymorph = 0.195 eV per atom; calculated density = 7.9 g cm⁻³; calculated volume = 41.54 Å³/atom; final energy = -3.7151 eV/atom; formation energy = 0.08 eV/atom
1.0
3.974 0.000 0.000
0.000 4.050 0.000
0.000 0.000 10.323
Ac Ag
3 1
direct
0.000 0.000 0.000 Ac
0.000 0.500 0.328 Ac
0.500 0.500 0.730 Ac
0.500 0.000 0.481 Ag

---

Ac3Ag | the Alexandria database | GGA-PBE | relaxed; ΔE to the lowest computed polymorph = 0.000 eV per atom; calculated density = 8.6 g cm⁻³; calculated volume = 38.19 Å³/atom; final energy = -3.9104 eV/atom; formation energy = -0.12 eV/atom
1.0
3.966 0.000 0.000
0.000 3.966 0.000
0.000 0.000 9.713
Ac Ag
3 1
direct
0.000 0.000 0.000 Ac
0.500 0.500 0.296 Ac
0.500 0.500 0.704 Ac
0.000 0.000 0.500 Ag

---

AcAg12 | the Alexandria database | GGA-PBE | relaxed; ΔE to the lowest computed polymorph = 0.569 eV per atom; calculated density = 6.8 g cm⁻³; calculated volume = 28.53 Å³/atom; final energy = -2.4403 eV/atom; formation energy = 0.51 eV/atom
1.0
0.000 5.703 5.703
5.703 0.000 5.703
5.703 5.703 0.000
Ac Ag
1 12
direct
0.000 0.000 0.000 Ac
0.162 0.500 0.500 Ag
0.162 0.500 0.838 Ag
0.162 0.838 0.500 Ag
0.500 0.162 0.500 Ag
0.500 0.162 0.838 Ag
0.500 0.500 0.162 Ag
0.500 0.500 0.838 Ag
0.500 0.838 0.162 Ag
0.500 0.838 0.500 Ag
0.838 0.162 0.500 Ag
0.838 0.500 0.162 Ag
0.838 0.500 0.500 Ag

---

Ac4Ag | the Alexandria database | GGA-PBE | relaxed; ΔE to the lowest computed polymorph = 0.094 eV per atom; calculated density = 8.2 g cm⁻³; calculated volume = 40.95 Å³/atom; final energy = -3.8535 eV/atom; formation energy = 0.00 eV/atom
1.0
0.000 7.679 3.933
6.780 0.000 3.933
6.780 7.679 0.000
Ac Ag
8 2
direct
0.040 0.960 0.198 Ac
0.052 0.448 0.210 Ac
0.068 0.497 0.797 Ac
0.448 0.052 0.290 Ac
0.453 0.612 0.182 Ac
0.497 0.068 0.638 Ac
0.612 0.453 0.753 Ac
0.960 0.040 0.802 Ac
0.632 0.632 0.368 Ag
0.882 0.882 0.618 Ag

---

Ac3Ag | the Alexandria database | GGA-PBE | relaxed; ΔE to the lowest computed polymorph = 0.202 eV per atom; calculated density = 8.7 g cm⁻³; calculated volume = 37.52 Å³/atom; final energy = -3.7082 eV/atom; formation energy = 0.09 eV/atom
1.0
5.314 0.000 0.000
0.000 5.314 0.000
0.000 0.000 5.314
Ac Ag
3 1
direct
0.000 0.000 0.500 Ac
0.000 0.500 0.000 Ac
0.500 0.000 0.000 Ac
0.500 0.500 0.500 Ag

---

Ac3Ag | the Alexandria database | GGA-PBE | relaxed; ΔE to the lowest computed polymorph = 0.262 eV per atom; calculated density = 8.6 g cm⁻³; calculated volume = 38.04 Å³/atom; final energy = -3.6489 eV/atom; formation energy = 0.15 eV/atom
1.0
0.000 4.237 4.237
4.237 0.000 4.237
4.237 4.237 0.000
Ac Ag
3 1
direct
0.000 0.000 0.000 Ac
0.250 0.250 0.250 Ac
0.750 0.750 0.750 Ac
0.500 0.500 0.500 Ag

---

AcAg5 | the Alexandria database | GGA-PBE | relaxed; calculated density = 9.7 g cm⁻³; calculated volume = 21.87 Å³/atom; final energy = -3.2273 eV/atom; formation energy = -0.17 eV/atom
1.0
0.000 4.033 4.033
4.033 0.000 4.033
4.033 4.033 0.000
Ac Ag
1 5
direct
0.000 0.000 0.000 Ac
0.376 0.376 0.376 Ag
0.376 0.376 0.872 Ag
0.376 0.872 0.376 Ag
0.750 0.750 0.750 Ag
0.872 0.376 0.376 Ag

---

Ac6Ag5 | the Alexandria database | GGA-PBE | relaxed; calculated density = 8.6 g cm⁻³; calculated volume = 33.53 Å³/atom; final energy = -3.7153 eV/atom; formation energy = -0.18 eV/atom
1.0
-2.795 3.948 8.355
2.795 -3.948 8.355
2.795 3.948 -8.355
Ac Ag
6 5
direct
0.082 0.334 0.749 Ac
0.248 0.000 0.248 Ac
0.415 0.666 0.749 Ac
0.585 0.334 0.251 Ac
0.752 0.000 0.752 Ac
0.918 0.666 0.251 Ac
0.000 0.500 0.500 Ag
0.167 0.167 0.000 Ag
0.335 0.835 0.500 Ag
0.665 0.165 0.500 Ag
0.833 0.833 0.000 Ag

---

Ac2Ag7 | the Alexandria database | GGA-PBE | relaxed; calculated density = 9.5 g cm⁻³; calculated volume = 23.45 Å³/atom; final energy = -3.2992 eV/atom; formation energy = -0.17 eV/atom
1.0
2.928 1.690 14.214
-2.928 1.690 14.214
0.000 -3.381 14.214
Ac Ag
4 14
direct
0.051 0.051 0.051 Ac
0.149 0.149 0.149 Ac
0.851 0.851 0.851 Ac
0.949 0.949 0.949 Ac
0.000 0.500 0.500 Ag
0.108 0.611 0.611 Ag
0.278 0.278 0.278 Ag
0.388 0.388 0.388 Ag
0.389 0.389 0.892 Ag
0.389 0.892 0.389 Ag
0.500 0.000 0.500 Ag
0.500 0.500 0.000 Ag
0.500 0.500 0.500 Ag
0.611 0.108 0.611 Ag
0.611 0.611 0.108 Ag
0.612 0.612 0.612 Ag
0.722 0.722 0.722 Ag
0.892 0.389 0.389 Ag

---

Ac3Ag | the Alexandria database | GGA-PBE | relaxed; ΔE to the lowest computed polymorph = 0.198 eV per atom; calculated density = 8.8 g cm⁻³; calculated volume = 37.32 Å³/atom; final energy = -3.7122 eV/atom; formation energy = 0.08 eV/atom
1.0
-2.599 2.599 5.526
2.599 -2.599 5.526
2.599 2.599 -5.526
Ac Ag
3 1
direct
0.000 0.000 0.000 Ac
0.250 0.750 0.500 Ac
0.750 0.250 0.500 Ac
0.500 0.500 0.000 Ag

---

AcAg3 | the Alexandria database | GGA-PBE | relaxed; calculated density = 8.7 g cm⁻³; calculated volume = 26.18 Å³/atom; final energy = -3.2139 eV/atom; formation energy = -0.05 eV/atom
1.0
4.235 0.000 0.000
0.000 4.235 0.000
0.000 0.000 5.841
Ac Ag
1 3
direct
0.000 0.000 0.000 Ac
0.000 0.500 0.546 Ag
0.500 0.000 0.546 Ag
0.500 0.500 0.223 Ag

---

Ac4Ag | the Alexandria database | GGA-PBE | relaxed; ΔE to the lowest computed polymorph = 0.231 eV per atom; calculated density = 7.3 g cm⁻³; calculated volume = 46.26 Å³/atom; final energy = -3.7164 eV/atom; formation energy = 0.14 eV/atom
1.0
6.138 0.000 0.000
0.000 6.138 0.000
0.000 0.000 6.138
Ac Ag
4 1
direct
0.000 0.000 0.000 Ac
0.000 0.500 0.500 Ac
0.500 0.000 0.500 Ac
0.500 0.500 0.000 Ac
0.500 0.500 0.500 Ag

---

AcAg12 | the Alexandria database | GGA-PBE | relaxed; ΔE to the lowest computed polymorph = 0.000 eV per atom; calculated density = 9.6 g cm⁻³; calculated volume = 20.15 Å³/atom; final energy = -3.0092 eV/atom; formation energy = -0.06 eV/atom
1.0
-4.829 4.829 2.809
4.829 -4.829 2.809
4.829 4.829 -2.809
Ac Ag
1 12
direct
0.000 0.000 0.000 Ac
0.000 0.000 0.500 Ag
0.000 0.354 0.354 Ag
0.000 0.500 0.000 Ag
0.000 0.646 0.646 Ag
0.279 0.500 0.779 Ag
0.354 0.000 0.354 Ag
0.500 0.000 0.000 Ag
0.500 0.279 0.779 Ag
0.500 0.500 0.500 Ag
0.500 0.721 0.221 Ag
0.646 0.000 0.646 Ag
0.721 0.500 0.221 Ag

---

Ac3Ag2 | the Alexandria database | GGA-PBE | relaxed; ΔE to the lowest computed polymorph = 0.000 eV per atom; calculated density = 8.8 g cm⁻³; calculated volume = 33.98 Å³/atom; final energy = -3.8140 eV/atom; formation energy = -0.21 eV/atom
1.0
3.964 0.000 0.000
0.000 3.964 0.000
0.000 0.000 21.621
Ac Ag
6 4
direct
0.000 0.000 0.000 Ac
0.000 0.000 0.184 Ac
0.000 0.000 0.366 Ac
0.000 0.000 0.634 Ac
0.000 0.000 0.816 Ac
0.500 0.500 0.500 Ac
0.500 0.500 0.092 Ag
0.500 0.500 0.275 Ag
0.500 0.500 0.725 Ag
0.500 0.500 0.908 Ag

---

Ac3Ag8 | the Alexandria database | GGA-PBE | relaxed; calculated density = 8.9 g cm⁻³; calculated volume = 26.05 Å³/atom; final energy = -3.4239 eV/atom; formation energy = -0.23 eV/atom
1.0
-2.056 2.378 14.654
2.056 -2.378 14.654
2.056 2.378 -14.654
Ac Ag
3 8
direct
0.000 0.000 0.000 Ac
0.353 0.853 0.500 Ac
0.647 0.147 0.500 Ac
0.097 0.597 0.500 Ag
0.191 0.691 0.500 Ag
0.256 0.256 0.000 Ag
0.452 0.452 0.000 Ag
0.548 0.548 0.000 Ag
0.744 0.744 0.000 Ag
0.809 0.309 0.500 Ag
0.903 0.403 0.500 Ag

---

AcAg13 | the Alexandria database | GGA-PBE | relaxed; calculated density = 9.4 g cm⁻³; calculated volume = 20.57 Å³/atom; final energy = -2.9638 eV/atom; formation energy = -0.02 eV/atom
1.0
0.000 6.604 6.604
6.604 0.000 6.604
6.604 6.604 0.000
Ac Ag
2 26
direct
0.250 0.250 0.250 Ac
0.750 0.750 0.750 Ac
0.000 0.000 0.000 Ag
0.062 0.299 0.701 Ag
0.062 0.701 0.938 Ag
0.062 0.938 0.299 Ag
0.201 0.438 0.799 Ag
0.201 0.562 0.438 Ag
0.201 0.799 0.562 Ag
0.299 0.062 0.938 Ag
0.299 0.701 0.062 Ag
0.299 0.938 0.701 Ag
0.438 0.201 0.562 Ag
0.438 0.562 0.799 Ag
0.438 0.799 0.201 Ag
0.500 0.500 0.500 Ag
0.562 0.201 0.799 Ag
0.562 0.438 0.201 Ag
0.562 0.799 0.438 Ag
0.701 0.062 0.299 Ag
0.701 0.299 0.938 Ag
0.701 0.938 0.062 Ag
0.799 0.201 0.438 Ag
0.799 0.438 0.562 Ag
0.799 0.562 0.201 Ag
0.938 0.062 0.701 Ag
0.938 0.299 0.062 Ag
0.938 0.701 0.299 Ag